Record 1
Below is BaLaAgTeS2 after structural relaxation, with properties calculated at the PBE level.

Cell: 4.319 14.922 11.640 Å, 90.00 90.00 90.00°
Space group Cmcm (No. 63)
Inequivalent atoms, fractional coordinates:
Ba1 0.000 0.214 0.250 x4
La1 0.000 0.000 0.000 x4
Ag1 0.000 0.486 0.750 x4
Te1 0.000 0.104 0.750 x4
S1 0.000 0.382 0.576 x8

- Calculated total energy: -121.01 eV/cell
- Size of the total moment: 0.0 Bohr magnetons per cell



Record 2
Below is Ba2LaAg5Se6 after structural relaxation, with properties calculated at the PBE level.

Cell: 14.495 4.431 11.616 Å, 90.00 93.70 90.00°
Space group C2/m (No. 12)
Inequivalent atoms, fractional coordinates:
Ba1 0.250 0.000 0.210 x4
La1 0.000 0.500 0.000 x2
Ag1 0.000 0.000 0.500 x2
Ag2 0.023 0.000 0.755 x4
Ag3 0.140 0.500 0.468 x4
Se1 0.084 0.500 0.244 x4
Se2 0.135 0.000 0.950 x4
Se3 0.161 0.000 0.600 x4

- Calculated total energy: -116.71 eV/cell
- Size of the total moment: 0.0 Bohr magnetons per cell



Record 3
Below is BaLaAgTe2Se after structural relaxation, with properties calculated at the PBE level.

Cell: 4.564 15.093 11.320 Å, 90.00 90.00 90.00°
Space group Cmcm (No. 63)
Inequivalent atoms, fractional coordinates:
Ba1 0.000 0.234 0.250 x4
La1 0.000 0.500 0.000 x4
Ag1 0.000 0.028 0.750 x4
Te1 0.000 0.146 0.558 x8
Se1 0.000 0.426 0.750 x4

- Calculated total energy: -112.28 eV/cell
- Size of the total moment: 0.0 Bohr magnetons per cell



Record 4
Below is BaLaAgTe3 after structural relaxation, with properties calculated at the PBE level.

Cell: 9.010 4.624 10.757 Å, 90.00 105.09 90.00°
Space group P2_1/m (No. 11)
Inequivalent atoms, fractional coordinates:
Ba1 0.229 0.250 0.283 x2
La1 0.307 0.750 0.842 x2
Ag1 0.081 0.250 0.590 x2
Te1 0.064 0.250 0.853 x2
Te2 0.255 0.750 0.536 x2
Te3 0.439 0.750 0.152 x2

- Calculated total energy: -54.00 eV/cell
- Size of the total moment: 0.0 Bohr magnetons per cell



Record 5
Below is Ba2LiAg2 after structural relaxation, with properties calculated at the PBE level.

Cell: 12.630 4.809 12.306 Å, 90.00 118.65 90.00°
Space group C2/m (No. 12)
Inequivalent atoms, fractional coordinates:
Ba1 0.005 0.000 0.333 x4
Ba2 0.188 0.000 0.111 x4
Li1 0.226 0.500 0.380 x4
Ag1 0.010 0.500 0.884 x4
Ag2 0.140 0.500 0.564 x4

- Calculated total energy: -50.28 eV/cell



Record 6
Below is Ba2LiAgP2 after structural relaxation, with properties calculated at the PBE level.

Cell: 4.5213 4.5213 8.8467 Å, 90.00 90.00 120.00°
Space group P-6m2 (No. 187)
Inequivalent atoms, fractional coordinates:
Ba1 0.0000 0.0000 0.2476 x2
Li1 0.3333 0.6667 0.0000 x1
Ag1 0.6667 0.3333 0.5000 x1
P1 0.3333 0.6667 0.5000 x1
P2 0.6667 0.3333 0.0000 x1

- Calculated total energy: -24.32 eV/cell



Record 7
Below is BaLiSiAgS4 after structural relaxation, with properties calculated at the PBE level.

Cell: 6.673 6.673 8.127 Å, 90.00 90.00 90.00°
Space group I-4 (No. 82)
Inequivalent atoms, fractional coordinates:
Ba1 0.000 0.000 0.000 x2
Li1 0.000 0.500 0.750 x2
Si1 0.000 0.000 0.500 x2
Ag1 0.000 0.500 0.250 x2
S1 0.177 0.193 0.651 x8

- Calculated total energy: -75.52 eV/cell



Record 8
Below is Ba2LiAgSb2 after structural relaxation, with properties calculated at the PBE level.

Cell: 4.9021 4.9021 9.2908 Å, 90.00 90.00 120.00°
Space group P-6m2 (No. 187)
Inequivalent atoms, fractional coordinates:
Ba1 0.0000 0.0000 0.2497 x2
Li1 0.6667 0.3333 0.0000 x1
Ag1 0.3333 0.6667 0.5000 x1
Sb1 0.3333 0.6667 0.0000 x1
Sb2 0.6667 0.3333 0.5000 x1

- Calculated total energy: -22.03 eV/cell



Record 9
Below is BaLu2Ag after structural relaxation, with properties calculated at the PBE level.

Cell: 7.902 7.902 7.902 Å, 90.00 90.00 90.00°
Space group F-43m (No. 216)
Inequivalent atoms, fractional coordinates:
Ba1 0.000 0.000 0.000 x4
Lu1 0.000 0.000 0.500 x4
Lu2 0.250 0.250 0.750 x4
Ag1 0.250 0.250 0.250 x4

- Calculated total energy: -50.77 eV/cell
- Size of the total moment: 0.0 Bohr magnetons per cell



Record 10
Below is BaLuAgO3 after structural relaxation, with properties calculated at the PBE level.

Cell: 3.562 13.154 8.803 Å, 90.00 90.00 90.00°
Space group Cmcm (No. 63)
Inequivalent atoms, fractional coordinates:
Ba1 0.000 0.187 0.250 x4
Lu1 0.000 0.500 0.000 x4
Ag1 0.000 0.103 0.750 x4
O1 0.000 0.108 0.515 x8
O2 0.000 0.454 0.750 x4

- Calculated total energy: -151.18 eV/cell
- Size of the total moment: 0.0 Bohr magnetons per cell



Record 11
Below is BaLuAgSeS2 after structural relaxation, with properties calculated at the PBE level.

Cell: 4.118 14.079 10.528 Å, 90.00 90.00 90.00°
Space group Cmcm (No. 63)
Inequivalent atoms, fractional coordinates:
Ba1 0.000 0.241 0.250 x4
Lu1 0.000 0.000 0.000 x4
Ag1 0.000 0.467 0.750 x4
Se1 0.000 0.083 0.750 x4
S1 0.000 0.372 0.549 x8

- Calculated total energy: -121.26 eV/cell
- Size of the total moment: 0.1 Bohr magnetons per cell



Record 12
Below is BaLuAgTe2S after structural relaxation, with properties calculated at the PBE level.

Cell: 4.385 14.917 10.726 Å, 90.00 90.00 90.00°
Space group Cmcm (No. 63)
Inequivalent atoms, fractional coordinates:
Ba1 0.000 0.232 0.250 x4
Lu1 0.000 0.500 0.000 x4
Ag1 0.000 0.022 0.750 x4
Te1 0.000 0.140 0.549 x8
S1 0.000 0.432 0.750 x4

- Calculated total energy: -110.70 eV/cell
- Size of the total moment: 0.0 Bohr magnetons per cell